VASP calculation (PBE) on CrCuW2 after structural relaxation.

Output
Polymorph energy (0 for the lowest one) in kcal/mol of atoms: 15.86
Calculated formation energy in kcal/mol of atoms: 21.422
Final energy in eV per atom: -8.98
Mass density in Mg/m³: 13.16
Space group: I-42d, No. 122
Magnetic moment in Bohr magnetons per cell: 0.00
V in Å³ per cell: 122

a b c (Å): 6.799 6.799 5.484
angles (deg): 51.69 51.69 90.00
Atoms (fractional coordinates):
Cr 0.250 0.750 0.500
Cr 0.500 0.500 0.000
Cu 0.000 0.000 0.000
Cu 0.750 0.250 0.500
W 0.141 0.625 0.250
W 0.375 0.391 0.750
W 0.609 0.125 0.250
W 0.875 0.859 0.750